Computed, not measured: a relaxed Zr6NiN2 crystal at the GGA-PBE level of DFT.

## Properties
SG = C2/m, No. 12
Formation energy from raw total energies = -0.707 eV/atom

abc: 5.9350 5.9350 7.5709
angles: 116.09 116.09 44.11
With the nearest neighbours (Å) after each atom.
Sites, in units of the cell vectors:
Zr  0.0239  0.0239  0.2011  2 N 2.29, 1 Ni 2.40
Zr  0.3096  0.3096  0.9205  3 N 2.23-2.28
Zr  0.3424  0.3424  0.4298  1 N 2.34
Zr  0.6576  0.6576  0.5702  1 N 2.34
Zr  0.6904  0.6904  0.0795  3 N 2.23-2.28
Zr  0.9761  0.9761  0.7989  2 N 2.29, 1 Ni 2.40
Ni  0.0000  0.0000  0.5000  2 Zr 2.40
N  0.1827  0.1827  0.0873  6 Zr 2.23-2.34
N  0.8173  0.8173  0.9127  6 Zr 2.23-2.34